PBE Cu5H12Pb3, optimized geometry; symmetry = No. 230; DFT total energy = -260.2 eV for the cell shown; DOS at the Fermi energy = 8.1 states/eV/f.u.; volume = 867.6 Å³ per cell
1.0
10.407 0.000 0.000
-3.469 9.811 0.000
-3.469 -4.906 8.497
H Cu Pb
48 20 12
Cartesian
3.288 2.003 5.105
3.863 3.979 6.969
4.474 -1.098 4.958
1.341 -3.979 6.969
2.128 8.885 1.528
-2.676 4.990 1.567
-0.394 8.218 2.682
5.933 2.515 5.777
-0.394 0.927 1.528
3.288 -3.939 8.458
6.544 0.666 4.287
-0.729 3.614 7.679
4.198 7.421 2.720
0.729 1.098 4.958
1.916 3.939 8.458
-1.341 -0.666 4.287
5.933 -3.614 7.679
4.198 1.292 0.818
2.527 6.220 0.857
4.809 5.572 4.210
1.553 6.908 3.392
4.411 4.821 1.567
0.181 8.844 0.039
7.119 -1.936 5.067
-0.729 -2.515 5.777
2.527 3.507 0.710
0.181 2.903 3.392
1.553 0.967 0.039
5.384 2.970 3.430
-0.792 6.305 0.710
-2.464 2.390 2.720
1.916 -2.003 5.105
0.942 1.399 7.787
0.942 -1.314 7.640
-0.792 3.591 0.857
2.128 1.593 2.682
-3.650 6.842 3.430
-1.005 6.004 3.538
-2.464 8.519 0.818
-1.916 1.936 5.067
-3.075 4.240 4.210
-0.942 0.085 6.930
1.341 3.313 5.815
4.261 -1.399 7.787
2.739 3.807 3.538
4.261 1.314 7.640
3.863 -3.313 5.815
6.145 -0.085 6.930
-3.469 2.453 4.248
3.469 4.906 0.000
4.336 -3.066 7.435
-2.602 5.519 3.186
2.602 1.840 1.062
4.336 2.453 6.373
-0.867 0.613 5.311
-0.867 7.972 1.062
2.602 7.359 2.124
0.867 3.066 7.435
0.000 0.000 0.000
5.203 0.000 0.000
0.867 -2.453 6.373
4.336 4.292 3.186
-1.734 4.906 0.000
3.469 -2.453 4.248
1.734 2.453 4.248
-0.867 2.453 2.124
6.070 -0.613 5.311
-1.734 -2.453 4.248
7.805 0.000 2.124
-2.602 -1.840 7.435
-0.867 4.292 5.311
4.336 0.613 3.186
2.602 5.519 5.311
0.867 -0.613 3.186
6.070 6.745 1.062
-4.336 4.906 6.373
0.867 4.906 2.124
-2.602 1.840 7.435
6.070 3.066 1.062
2.602 0.000 6.373